(1)
{"formula": "DyY2Mg3CuHg2", "functional": "PBE-GGA", "state": "optimized geometry", "spacegroup": "Amm2, No. 38", "total_magnetization_mub_per_fu": 0.010, "cell": [[4.151, 0.000, 0.000], [0.000, 6.663, 3.847], [0.000, -6.663, 3.847]], "species": ["Dy", "Hg", "Hg", "Y", "Y", "Mg", "Mg", "Mg", "Cu"], "fractional_positions": [[0.000, 0.402, 0.402], [0.500, 0.334, 0.666], [0.500, 0.666, 0.334], [0.000, 0.000, 0.598], [0.000, 0.598, 0.000], [0.500, 0.000, 0.237], [0.500, 0.763, 0.763], [0.500, 0.237, 0.000], [0.000, 0.001, 0.001]]}

=====

(2)
{"formula": "Na3Cu3Sb2", "functional": "PBE-GGA", "state": "optimized geometry", "spacegroup": "R-3m, No. 166", "cell": [[-7.361, -2.115, -0.724], [-6.480, 0.069, 4.146], [-6.968, 3.255, -0.199]], "species": ["Sb", "Sb", "Na", "Na", "Na", "Cu", "Cu", "Cu"], "fractional_positions": [[0.763, 0.763, 0.763], [0.237, 0.237, 0.237], [0.920, 0.920, 0.920], [0.500, 0.500, 0.500], [0.080, 0.080, 0.080], [0.500, 0.000, 0.500], [0.000, 0.500, 0.500], [0.500, 0.500, 0.000]]}

=====

(3)
{"formula": "PrNiAs", "functional": "PBE-GGA", "state": "optimized geometry", "spacegroup": "P-6m2, No. 187", "total_magnetization_mub_per_fu": 0.005, "cell": [[4.134, 0.000, 0.000], [-2.067, 3.580, 0.000], [0.000, 0.000, 4.079]], "species": ["Pr", "Ni", "As"], "fractional_positions": [[0.000, 0.000, 0.500], [0.333, 0.667, 0.000], [0.667, 0.333, 0.000]]}

=====

(4)
{"formula": "AgSbPb", "functional": "PBE-GGA", "state": "optimized geometry", "spacegroup": "Pnma, No. 62", "de_polymorph_ev_per_fu": 0.000, "cell": [[-3.802, 3.063, -0.099], [-0.948, -1.432, -7.873], [-4.984, -6.130, 1.715]], "species": ["Ag", "Ag", "Ag", "Ag", "Pb", "Pb", "Pb", "Pb", "Sb", "Sb", "Sb", "Sb"], "fractional_positions": [[0.750, 0.078, 0.165], [0.250, 0.922, 0.835], [0.750, 0.422, 0.665], [0.250, 0.578, 0.335], [0.750, 0.699, 0.996], [0.250, 0.199, 0.504], [0.250, 0.301, 0.004], [0.750, 0.801, 0.496], [0.250, 0.909, 0.224], [0.750, 0.091, 0.776], [0.750, 0.409, 0.276], [0.250, 0.591, 0.724]]}

=====

(5)
{"formula": "SmZn2Au2", "functional": "PBE-GGA", "state": "optimized geometry", "spacegroup": "I4/mmm, No. 139", "total_magnetization_mub_per_fu": 0.001, "ef_mev_per_atom": -549, "cell": [[5.374, -3.382, -2.907], [5.382, -3.520, 2.724], [-6.899, 1.081, 0.036]], "species": ["Au", "Au", "Sm", "Zn", "Zn"], "fractional_positions": [[0.391, 0.391, 0.000], [0.609, 0.609, 0.000], [0.000, 0.000, 0.000], [0.750, 0.250, 0.500], [0.250, 0.750, 0.500]]}

=====

(6)
{"formula": "UTcTe", "functional": "PBE-GGA", "state": "optimized geometry", "spacegroup": "F-43m, No. 216", "total_magnetization_mub_per_fu": 1.202, "de_polymorph_ev_per_fu": 0.000, "cell": [[-1.461, -0.492, 4.405], [-0.148, 3.703, 2.837], [-4.114, 1.776, 1.307]], "species": ["U", "Tc", "Te"], "fractional_positions": [[0.750, 0.750, 0.750], [0.250, 0.250, 0.250], [0.000, 0.000, 0.000]]}

=====

Number 1: raw total energy -3.297 eV per atom. Number 2: raw total energy -3.128 eV per atom. Number 3: raw total energy -6.019 eV per atom. Number 4: raw total energy -3.532 eV per atom. Number 5: raw total energy -3.304 eV per atom. Number 6: raw total energy -7.641 eV per atom.